MoAs2PdBr | the Alexandria database | PBE-GGA | relaxed; crystal system = tetragonal; mass density = 5.88 g/cm3; symmetry = No. 123; offset from the most stable computed form = 0.0000 eV per atom; magnetization = 0.00 μB per formula unit; raw total energy = -23.97 eV per cell
1.0
-2.960 -1.148 3.618
-0.667 -4.359 -1.929
4.085 -1.845 2.757
As Br Pd Mo
2 1 1 1
Direct
0.000 0.500 0.000
0.500 0.000 0.000
0.000 0.000 0.500
0.500 0.500 0.500
0.000 0.000 0.000